# 1
DFT (PBE) results for CeMgIn2 after structural relaxation.

The calculation puts the energy relative to the elements at -250 meV/atom. The calculation puts the size of the total moment at 0.36 μB per atom.

It has space group P4/mmm (No. 123), with a = 3.607 Å, b = 3.607 Å, c = 7.829 Å, α = 90.00°, β = 90.00° and γ = 90.00°. The inequivalent atoms are Ce at (0.000, 0.000, 0.000), Mg at (0.000, 0.000, 0.500) and In at (0.500, 0.500, 0.281).


# 2
DFT (PBE) results for Ta2CrCl after structural relaxation.

The calculation puts the energy above the most stable polymorph in this dataset at 179 meV per atom. The calculation puts the size of the total moment at 0.00 μB per atom.

It has space group P4/mmm (No. 123), with a = 3.032 Å, b = 3.032 Å, c = 7.410 Å, α = 90.00°, β = 90.00° and γ = 90.00°. The inequivalent atoms are Ta at (0.000, 0.000, 0.202), Cr at (0.500, 0.500, 0.000) and Cl at (0.500, 0.500, 0.500).


> Look up the size of the total moment of the first one.

0.36 μB per atom